[1]
The following is a DFT calculation (PBE-GGA) of a geometry-optimized Ce5Te2Ir structure.

Results
**SG**: Pbam
**Raw total energy**: -103.56 eV per cell
**ΔE_f (raw)**: -871 meV/atom
**Total magnetic moment**: 5.14 μB per formula unit
**E above lowest polymorph**: 0 meV/atom

Lattice parameters (Å, degrees): 7.929 12.286 4.574 90.00 90.00 90.00
Fractional coordinates of all 16 atoms:
1 Ce 0.000 0.000 0.000
2 Ce 0.133 0.296 0.000
3 Ce 0.207 0.559 0.500
4 Ce 0.293 0.059 0.500
5 Ce 0.367 0.796 0.000
6 Ce 0.500 0.500 0.000
7 Ce 0.633 0.204 0.000
8 Ce 0.707 0.941 0.500
9 Ce 0.793 0.441 0.500
10 Ce 0.867 0.704 0.000
11 Te 0.087 0.823 0.500
12 Te 0.413 0.323 0.500
13 Te 0.587 0.677 0.500
14 Te 0.913 0.177 0.500
15 Ir 0.000 0.500 0.000
16 Ir 0.500 0.000 0.000

[2]
The following is a DFT calculation (PBE-GGA) of a geometry-optimized Ce6TeIr structure.

Results
**SG**: C2/m
**Raw total energy**: -50.51 eV per cell
**ΔE_f (raw)**: -363 meV/atom
**Total magnetic moment**: 4.08 μB per formula unit

Lattice parameters (Å, degrees): 6.231 6.231 6.311 101.59 101.59 101.61
Fractional coordinates of all 8 atoms:
1 Ce 0.087 0.674 0.686
2 Ce 0.319 0.319 0.906
3 Ce 0.326 0.913 0.314
4 Ce 0.674 0.087 0.686
5 Ce 0.681 0.681 0.094
6 Ce 0.913 0.326 0.314
7 Te 0.500 0.500 0.500
8 Ir 0.000 0.000 0.000

[3]
The following is a DFT calculation (PBE-GGA) of a geometry-optimized Ce5Te5Ir structure.

Results
**SG**: C2/m
**Raw total energy**: -67.54 eV per cell
**ΔE_f (raw)**: -1209 meV/atom
**Total magnetic moment**: 5.88 μB per formula unit

Lattice parameters (Å, degrees): 7.722 7.722 8.757 107.41 107.41 48.15
Fractional coordinates of all 11 atoms:
1 Ce 0.000 0.000 0.000
2 Ce 0.351 0.351 0.149
3 Ce 0.351 0.351 0.697
4 Ce 0.649 0.649 0.303
5 Ce 0.649 0.649 0.851
6 Te 0.163 0.163 0.822
7 Te 0.184 0.184 0.335
8 Te 0.500 0.500 0.500
9 Te 0.816 0.816 0.665
10 Te 0.837 0.837 0.178
11 Ir 0.500 0.500 0.000

[4]
The following is a DFT calculation (PBE-GGA) of a geometry-optimized Ce3Te2Ir structure.

Results
**SG**: C2/m
**Raw total energy**: -79.56 eV per cell
**ΔE_f (raw)**: -1139 meV/atom
**Total magnetic moment**: 3.03 μB per formula unit

Lattice parameters (Å, degrees): 7.464 7.464 7.769 99.43 99.43 119.85
Fractional coordinates of all 12 atoms:
1 Ce 0.065 0.429 0.779
2 Ce 0.207 0.207 0.212
3 Ce 0.429 0.065 0.779
4 Ce 0.571 0.935 0.221
5 Ce 0.793 0.793 0.788
6 Ce 0.935 0.571 0.221
7 Te 0.000 0.000 0.500
8 Te 0.346 0.654 0.500
9 Te 0.500 0.500 0.000
10 Te 0.654 0.346 0.500
11 Ir 0.168 0.832 0.000
12 Ir 0.832 0.168 0.000

[5]
The following is a DFT calculation (PBE-GGA) of a geometry-optimized Ce6Te2Ir structure.

Results
**SG**: P4_2/mnm
**Raw total energy**: -108.56 eV per cell
**ΔE_f (raw)**: -392 meV/atom
**Total magnetic moment**: 8.38 μB per formula unit

Lattice parameters (Å, degrees): 7.172 7.172 12.937 90.00 90.00 90.00
Fractional coordinates of all 18 atoms:
1 Ce 0.196 0.196 0.158
2 Ce 0.196 0.196 0.842
3 Ce 0.232 0.232 0.500
4 Ce 0.268 0.732 0.000
5 Ce 0.304 0.696 0.342
6 Ce 0.304 0.696 0.658
7 Ce 0.696 0.304 0.342
8 Ce 0.696 0.304 0.658
9 Ce 0.732 0.268 0.000
10 Ce 0.768 0.768 0.500
11 Ce 0.804 0.804 0.158
12 Ce 0.804 0.804 0.842
13 Te 0.000 0.000 0.342
14 Te 0.000 0.000 0.658
15 Te 0.500 0.500 0.158
16 Te 0.500 0.500 0.842
17 Ir 0.000 0.000 0.000
18 Ir 0.500 0.500 0.500

[6]
The following is a DFT calculation (PBE-GGA) of a geometry-optimized Ce2TeIr structure.

Results
**SG**: R-3m
**Raw total energy**: -28.06 eV per cell
**ΔE_f (raw)**: -1046 meV/atom
**Total magnetic moment**: 1.34 μB per formula unit
**E above lowest polymorph**: 0 meV/atom

Lattice parameters (Å, degrees): 7.851 7.851 7.851 30.65 30.65 30.65
Fractional coordinates of all 4 atoms:
1 Ce 0.236 0.236 0.236
2 Ce 0.764 0.764 0.764
3 Te 0.000 0.000 0.000
4 Ir 0.500 0.500 0.500

[7]
The following is a DFT calculation (PBE-GGA) of a geometry-optimized CeTe2Ir structure.

Results
**SG**: R-3m
**Raw total energy**: -21.53 eV per cell
**ΔE_f (raw)**: -112 meV/atom
**Total magnetic moment**: 1.46 μB per formula unit

Lattice parameters (Å, degrees): 9.385 9.385 9.385 24.55 24.55 24.55
Fractional coordinates of all 4 atoms:
1 Ce 0.000 0.000 0.000
2 Te 0.117 0.117 0.117
3 Te 0.883 0.883 0.883
4 Ir 0.500 0.500 0.500

[8]
The following is a DFT calculation (PBE-GGA) of a geometry-optimized Ce2TeIr structure.

Results
**SG**: P6_3/mmc
**Raw total energy**: -56.00 eV per cell
**ΔE_f (raw)**: -1033 meV/atom
**Total magnetic moment**: 1.29 μB per formula unit
**E above lowest polymorph**: 13 meV/atom

Lattice parameters (Å, degrees): 4.136 4.136 15.156 90.00 90.00 120.00
Fractional coordinates of all 8 atoms:
1 Ce 0.333 0.667 0.102
2 Ce 0.333 0.667 0.398
3 Ce 0.667 0.333 0.602
4 Ce 0.667 0.333 0.898
5 Te 0.333 0.667 0.750
6 Te 0.667 0.333 0.250
7 Ir 0.000 0.000 0.000
8 Ir 0.000 0.000 0.500

[9]
The following is a DFT calculation (PBE-GGA) of a geometry-optimized CeTmTeIr structure.

Results
**SG**: R3m
**Raw total energy**: -26.57 eV per cell
**ΔE_f (raw)**: -1041 meV/atom
**Total magnetic moment**: 0.34 μB per formula unit

Lattice parameters (Å, degrees): 7.705 7.705 7.705 31.06 31.06 31.06
Fractional coordinates of all 4 atoms:
1 Ce 0.000 0.000 0.000
2 Tm 0.802 0.802 0.802
3 Te 0.564 0.564 0.564
4 Ir 0.401 0.401 0.401

[10]
The following is a DFT calculation (PBE-GGA) of a geometry-optimized CeThIr structure.

Results
**SG**: P2_1/m
**Raw total energy**: -48.28 eV per cell
**ΔH_f (0 K)**: -641 meV/atom
**Total magnetic moment**: 0.00 μB per formula unit
**E above lowest polymorph**: 0 meV/atom

Lattice parameters (Å, degrees): 4.096 4.123 8.678 90.00 91.57 90.00
Fractional coordinates of all 6 atoms:
1 Ce 0.229 0.250 0.497
2 Ce 0.771 0.750 0.503
3 Th 0.257 0.750 0.147
4 Th 0.743 0.250 0.853
5 Ir 0.244 0.750 0.793
6 Ir 0.756 0.250 0.207

[11]
The following is a DFT calculation (PBE-GGA) of a geometry-optimized Ce2ThIr structure.

Results
**SG**: Pnma
**Raw total energy**: -119.80 eV per cell
**ΔH_f (0 K)**: -450 meV/atom
**Total magnetic moment**: 0.00 μB per formula unit
**E above lowest polymorph**: 0 meV/atom

Lattice parameters (Å, degrees): 7.000 10.046 6.028 90.00 90.00 90.00
Fractional coordinates of all 16 atoms:
1 Ce 0.173 0.053 0.137
2 Ce 0.173 0.447 0.137
3 Ce 0.327 0.553 0.637
4 Ce 0.327 0.947 0.637
5 Ce 0.673 0.053 0.363
6 Ce 0.673 0.447 0.363
7 Ce 0.827 0.553 0.863
8 Ce 0.827 0.947 0.863
9 Th 0.038 0.250 0.642
10 Th 0.462 0.750 0.142
11 Th 0.538 0.250 0.858
12 Th 0.962 0.750 0.358
13 Ir 0.116 0.750 0.886
14 Ir 0.384 0.250 0.386
15 Ir 0.616 0.750 0.614
16 Ir 0.884 0.250 0.114

[12]
The following is a DFT calculation (PBE-GGA) of a geometry-optimized CeTh2Ir structure.

Results
**SG**: P4/mmm
**Raw total energy**: -31.08 eV per cell
**ΔH_f (0 K)**: -362 meV/atom
**Total magnetic moment**: 0.00 μB per formula unit
**E above lowest polymorph**: 113 meV/atom

Lattice parameters (Å, degrees): 3.680 3.680 7.742 90.00 90.00 90.00
Fractional coordinates of all 4 atoms:
1 Ce 0.000 0.000 0.000
2 Th 0.500 0.500 0.287
3 Th 0.500 0.500 0.713
4 Ir 0.000 0.000 0.500

[13]
The following is a DFT calculation (PBE-GGA) of a geometry-optimized Ce2ThIr structure.

Results
**SG**: R3m
**Raw total energy**: -29.10 eV per cell
**ΔH_f (0 K)**: -238 meV/atom
**Total magnetic moment**: 0.12 μB per formula unit
**E above lowest polymorph**: 212 meV/atom

Lattice parameters (Å, degrees): 9.398 9.398 9.398 23.40 23.40 23.40
Fractional coordinates of all 4 atoms:
1 Ce 0.000 0.000 0.000
2 Ce 0.208 0.208 0.208
3 Th 0.771 0.771 0.771
4 Ir 0.604 0.604 0.604

[14]
The following is a DFT calculation (PBE-GGA) of a geometry-optimized Ce2ThIr2 structure.

Results
**SG**: P-1
**Raw total energy**: -80.37 eV per cell
**ΔH_f (0 K)**: -635 meV/atom
**Total magnetic moment**: 0.87 μB per formula unit

Lattice parameters (Å, degrees): 4.960 6.422 8.279 89.39 80.22 72.02
Fractional coordinates of all 10 atoms:
1 Ce 0.027 0.408 0.176
2 Ce 0.255 0.715 0.417
3 Ce 0.745 0.285 0.583
4 Ce 0.973 0.592 0.824
5 Th 0.298 0.011 0.821
6 Th 0.702 0.989 0.179
7 Ir 0.292 0.212 0.477
8 Ir 0.364 0.720 0.070
9 Ir 0.636 0.280 0.930
10 Ir 0.708 0.788 0.523

[15]
The following is a DFT calculation (PBE-GGA) of a geometry-optimized CeTh2Ir structure.

Results
**SG**: R3m
**Raw total energy**: -30.83 eV per cell
**ΔH_f (0 K)**: -300 meV/atom
**Total magnetic moment**: 1.46 μB per formula unit
**E above lowest polymorph**: 176 meV/atom

Lattice parameters (Å, degrees): 9.468 9.468 9.468 24.06 24.06 24.06
Fractional coordinates of all 4 atoms:
1 Ce 0.000 0.000 0.000
2 Th 0.562 0.562 0.562
3 Th 0.772 0.772 0.772
4 Ir 0.166 0.166 0.166

[16]
The following is a DFT calculation (PBE-GGA) of a geometry-optimized CeTh2Ir structure.

Results
**SG**: R-3m
**Raw total energy**: -29.95 eV per cell
**ΔH_f (0 K)**: -79 meV/atom
**Total magnetic moment**: 1.67 μB per formula unit
**E above lowest polymorph**: 396 meV/atom

Lattice parameters (Å, degrees): 10.433 10.433 10.433 21.30 21.30 21.30
Fractional coordinates of all 4 atoms:
1 Ce 0.000 0.000 0.000
2 Th 0.110 0.110 0.110
3 Th 0.890 0.890 0.890
4 Ir 0.500 0.500 0.500

[17]
The following is a DFT calculation (PBE-GGA) of a geometry-optimized CeThIr2 structure.

Results
**SG**: R3m
**Raw total energy**: -33.91 eV per cell
**ΔH_f (0 K)**: -709 meV/atom
**Total magnetic moment**: 0.00 μB per formula unit
**E above lowest polymorph**: 197 meV/atom

Lattice parameters (Å, degrees): 7.339 7.339 7.339 31.85 31.85 31.85
Fractional coordinates of all 4 atoms:
1 Ce 0.000 0.000 0.000
2 Th 0.172 0.172 0.172
3 Ir 0.419 0.419 0.419
4 Ir 0.588 0.588 0.588

[18]
The following is a DFT calculation (PBE-GGA) of a geometry-optimized Ce2ThIr structure.

Results
**SG**: R-3m
**Raw total energy**: -28.25 eV per cell
**ΔH_f (0 K)**: -25 meV/atom
**Total magnetic moment**: 1.17 μB per formula unit
**E above lowest polymorph**: 425 meV/atom

Lattice parameters (Å, degrees): 10.488 10.488 10.488 20.07 20.07 20.07
Fractional coordinates of all 4 atoms:
1 Ce 0.108 0.108 0.108
2 Ce 0.892 0.892 0.892
3 Th 0.000 0.000 0.000
4 Ir 0.500 0.500 0.500

[19]
The following is a DFT calculation (PBE-GGA) of a geometry-optimized CeTh2Ir structure.

Results
**SG**: Cmcm
**Raw total energy**: -63.07 eV per cell
**ΔH_f (0 K)**: -475 meV/atom
**Total magnetic moment**: 0.00 μB per formula unit
**E above lowest polymorph**: 0 meV/atom

Lattice parameters (Å, degrees): 6.255 6.255 9.902 90.00 90.00 144.87
Fractional coordinates of all 8 atoms:
1 Ce 0.088 0.912 0.750
2 Ce 0.912 0.088 0.250
3 Th 0.363 0.637 0.555
4 Th 0.363 0.637 0.945
5 Th 0.637 0.363 0.055
6 Th 0.637 0.363 0.445
7 Ir 0.223 0.777 0.250
8 Ir 0.777 0.223 0.750

[20]
The following is a DFT calculation (PBE-GGA) of a geometry-optimized Ce2ThIr structure.

Results
**SG**: P4/mmm
**Raw total energy**: -29.56 eV per cell
**ΔH_f (0 K)**: -353 meV/atom
**Total magnetic moment**: 0.00 μB per formula unit
**E above lowest polymorph**: 97 meV/atom

Lattice parameters (Å, degrees): 3.607 3.607 7.744 90.00 90.00 90.00
Fractional coordinates of all 4 atoms:
1 Ce 0.000 0.000 0.206
2 Ce 0.000 0.000 0.794
3 Th 0.500 0.500 0.500
4 Ir 0.500 0.500 0.000